The following is a DFT calculation (PBE with a Hubbard U) of an optimized crystal structure of PuMnSiO6.

Output
Its crystal system is trigonal. The calculation puts the total DFT energy (no corrections) at -8.58 eV/atom.

Lattice parameters (Å, degrees): 5.141 5.141 9.158 90.00 90.00 120.00
Site moments in Bohr magnetons follow the coordinates.
Element x y z (fractional)
O: 0.960 0.625 0.361  -0.09
O: 0.375 0.040 0.139  -0.09
Pu: 0.667 0.333 0.750  2.75
O: 0.665 0.040 0.361  -0.09
Pu: 0.333 0.667 0.250  2.75
O: 0.960 0.335 0.139  -0.09
O: 0.665 0.625 0.139  -0.09
O: 0.375 0.335 0.361  -0.09
O: 0.625 0.960 0.861  -0.09
O: 0.040 0.375 0.639  -0.09
O: 0.335 0.960 0.639  -0.09
Si: 0.333 0.667 0.750  0.02
Mn: 0.000 0.000 0.500  4.60
Si: 0.667 0.333 0.250  0.02
O: 0.625 0.665 0.639  -0.09
Mn: 0.000 0.000 0.000  4.60
O: 0.040 0.665 0.861  -0.09
O: 0.335 0.375 0.861  -0.09